Material: NiHgPt
Method: DFT, PBE
State: relaxed

a = 5.9782 Å, b = 5.9782 Å, c = 5.9782 Å
α = 90.00°, β = 90.00°, γ = 90.00°
Last column: nearest neighbours and their distance in Å.
Space group F-43m (No. 216)
Unique sites:
Ni1 0.0000 0.0000 0.0000 x4  4 Hg 2.59, 4 Pt 2.59
Hg1 0.2500 0.2500 0.7500 x4  4 Ni 2.59
Pt1 0.2500 0.2500 0.2500 x4  4 Ni 2.59

Summary:
- N(E_F) (states/eV per cell) = 15.6
- polymorph energy (0 for the lowest one) (eV/atom) = 0.1472
- energy of formation (eV/f.u.) = 0.71
- total moment (μB per formula unit) = 0.000



Material: SmGaPt2
Method: DFT, PBE
State: relaxed

a = 3.4119 Å, b = 3.4119 Å, c = 6.5453 Å
α = 90.00°, β = 90.00°, γ = 90.00°
Last column: nearest neighbours and their distance in Å.
Space group P4/mmm (No. 123)
Unique sites:
Sm1 0.0000 0.0000 0.0000 x1  8 Pt 3.06, 2 Ga 3.27, 4 Sm 3.41
Ga1 0.0000 0.0000 0.5000 x1  8 Pt 2.78
Pt1 0.5000 0.5000 0.2876 x2  1 Pt 2.78, 4 Ga 2.78, 4 Sm 3.06

Summary:
- N(E_F) (states/eV per cell) = 1.8
- energy of formation (eV/f.u.) = -3.19
- total moment (μB per formula unit) = 0.000